MnCoTe2 after structural relaxation, computed with GGA-PBEsol.

The structure belongs to space group R-3m (No. 166, hexagonal axes); the cell edges are 3.6299, 3.6299 and 23.8364 Å and the angles 90.00°, 90.00° and 120.00°. The asymmetric unit holds Mn at (0.0000, 0.0000, 0.0000), Co at (0.0000, 0.0000, 0.5000) and Te at (0.0000, 0.0000, 0.1091).

The raw total energy is -5.82 eV/atom. Its crystal system is trigonal.